{
  "formula": "BaP2Os",
  "functional": "meta-GGA SCAN",
  "state": "PBEsol geometry",
  "lattice_angstrom": [[4.7063, 0.0000, 0.0000], [2.3531, 4.0757, 0.0000], [2.3531, 1.3586, 3.8426]],
  "species": ["Ba", "P", "Os", "P"],
  "frac_coords": [[0.5000, 0.5000, 0.5000], [0.2500, 0.2500, 0.2500], [0.0000, 0.0000, 0.0000], [0.7500, 0.7500, 0.7500]],
  "energy_ev_per_atom": -32.55,
  "n_ef_per_ev_cell": 1.4,
  "crystal_system": "cubic",
  "e_form_ev_per_atom": 0.51
}

{
  "formula": "BaPOs2S",
  "functional": "meta-GGA SCAN",
  "state": "PBEsol geometry",
  "lattice_angstrom": [[-0.3174, -3.6795, 2.3470], [3.2403, 1.3778, 2.5982], [-3.5062, 2.3102, 3.1476]],
  "species": ["Os", "Ba", "S", "P", "Os"],
  "frac_coords": [[0.0000, 0.5000, 0.0000], [0.5000, 0.5000, 0.5000], [0.0000, 0.0000, 0.0000], [0.0000, 0.0000, 0.5000], [0.5000, 0.0000, 0.0000]],
  "formation_energy_uncorrected_ev_per_atom": 0.82,
  "energy_ev_per_atom": -39.85,
  "n_ef_per_ev_cell": 4.3,
  "crystal_system": "tetragonal"
}

{
  "formula": "BaPOsS2",
  "functional": "meta-GGA SCAN",
  "state": "PBEsol geometry",
  "lattice_angstrom": [[5.3851, 0.0000, 0.0000], [0.0000, 5.3851, 0.0000], [0.0000, 0.0000, 5.5822]],
  "species": ["Ba", "S", "P", "S", "Os"],
  "frac_coords": [[0.0000, 0.0000, 0.0000], [0.0000, 0.5000, 0.0000], [0.0000, 0.0000, 0.5000], [0.5000, 0.0000, 0.0000], [0.5000, 0.5000, 0.5000]],
  "formation_energy_uncorrected_ev_per_atom": 2.11,
  "energy_ev_per_atom": -26.11,
  "n_ef_per_ev_cell": 5.7,
  "crystal_system": "tetragonal"
}

{
  "formula": "Ba2TlPOs",
  "functional": "meta-GGA SCAN",
  "state": "PBEsol geometry",
  "lattice_angstrom": [[-2.3184, 3.6587, -0.4192], [-3.2713, -1.5095, 4.9177], [3.9892, 2.9351, 3.5546]],
  "species": ["Ba", "Tl", "Os", "Ba", "P"],
  "frac_coords": [[0.0000, 0.5000, 0.0000], [0.5000, 0.5000, 0.5000], [0.5000, 0.0000, 0.0000], [0.0000, 0.0000, 0.5000], [0.0000, 0.0000, 0.0000]],
  "energy_ev_per_atom": -47.00,
  "n_ef_per_ev_cell": 2.6,
  "crystal_system": "tetragonal",
  "e_form_ev_per_atom": -0.25
}

{
  "formula": "BaOsPb",
  "functional": "meta-GGA SCAN",
  "state": "PBEsol geometry",
  "lattice_angstrom": [[4.6043, 0.0000, 0.0000], [-2.3022, 3.9875, 0.0000], [0.0000, 0.0000, 4.8391]],
  "species": ["Pb", "Ba", "Os"],
  "frac_coords": [[0.6667, 0.3333, 0.5002], [0.0000, 0.0000, 0.0000], [0.3333, 0.6667, 0.4998]],
  "energy_ev_per_atom": -62.03,
  "n_ef_per_ev_cell": 3.2,
  "crystal_system": "hexagonal",
  "e_form_ev_per_atom": 0.38
}

{
  "formula": "BaOs2Pb",
  "functional": "meta-GGA SCAN",
  "state": "PBEsol geometry",
  "lattice_angstrom": [[2.9939, 0.0000, 0.0000], [0.0000, 3.6289, 0.0000], [0.0000, 0.0000, 8.3371]],
  "species": ["Ba", "Os", "Pb", "Os"],
  "frac_coords": [[0.5000, 0.5000, 0.7856], [0.0000, 0.0000, 0.0756], [0.0000, 0.0000, 0.4350], [0.5000, 0.5000, 0.2038]],
  "energy_ev_per_atom": -64.27,
  "n_ef_per_ev_cell": 2.1,
  "crystal_system": "orthorhombic",
  "e_form_ev_per_atom": 0.50
}

{
  "formula": "BaOs2Pb",
  "functional": "meta-GGA SCAN",
  "state": "PBEsol geometry",
  "lattice_angstrom": [[3.9992, 0.0000, 0.0000], [0.0000, 4.5159, 0.5909], [0.0000, -0.5923, 4.5157]],
  "species": ["Os", "Ba", "Os", "Pb"],
  "frac_coords": [[0.0000, 0.0000, 0.5000], [0.5000, 0.5000, 0.5000], [0.0000, 0.5000, 0.0000], [0.5000, 0.0000, 0.0000]],
  "energy_ev_per_atom": -63.26,
  "n_ef_per_ev_cell": 4.3,
  "crystal_system": "tetragonal",
  "e_form_ev_per_atom": 1.52
}

{
  "formula": "BaOs2Pb",
  "functional": "meta-GGA SCAN",
  "state": "PBEsol geometry",
  "lattice_angstrom": [[4.3045, 0.0000, 0.0000], [2.1523, 3.7278, 0.0000], [2.1523, 1.2426, 6.4938]],
  "species": ["Ba", "Pb", "Os", "Os"],
  "frac_coords": [[0.7348, 0.7348, 0.7956], [0.5336, 0.5336, 0.3992], [0.2789, 0.2789, 0.1632], [0.9469, 0.9469, 0.1594]],
  "energy_ev_per_atom": -64.61,
  "n_ef_per_ev_cell": 1.9,
  "crystal_system": "trigonal",
  "e_form_ev_per_atom": 0.16
}